A plane-wave DFT calculation with PBE was carried out for a geometry-optimized Be2H6Se structure.

Results
**DFT total energy**: -2.349 eV per atom
**Space group**: Fm-3m

Lattice parameters (Å, degrees): 4.5480 4.5480 4.5480 60.00 60.00 60.00
Last column: nearest neighbours and their distance in Å.
Element x y z (fractional)
Be 0.2500 0.2500 0.2500  12 H 2.28
Be 0.7500 0.7500 0.7500  12 H 2.28
H 0.2228 0.2228 0.7772  1 Se 1.78
H 0.2228 0.7772 0.2228  1 Se 1.78
H 0.2228 0.7772 0.7772  1 Se 1.78
H 0.7772 0.2228 0.2228  1 Se 1.78
H 0.7772 0.2228 0.7772  1 Se 1.78
H 0.7772 0.7772 0.2228  1 Se 1.78
Se 0.5000 0.5000 0.5000  6 H 1.78

A plane-wave DFT calculation with PBE was carried out for a geometry-optimized BaTbEu structure.

Results
**Energy above the most stable polymorph in this dataset**: 3 meV/atom
**Space group**: I4mm

Lattice parameters (Å, degrees): 8.8816 8.8816 8.8816 154.49 154.49 36.39
Last column: nearest neighbours and their distance in Å.
Element x y z (fractional)
Ba 0.0000 0.0000 0.0000  4 Ba 3.92, 4 Tb 3.98, 4 Eu 4.21
Tb 0.3312 0.3312 0.0000  4 Eu 3.68, 4 Tb 3.92, 4 Ba 3.98
Eu 0.6878 0.6878 0.0000  4 Tb 3.68, 4 Eu 3.92

A plane-wave DFT calculation with PBE was carried out for a geometry-optimized Ac3La4Ru4 structure.

Results
**DFT total energy**: -6.424 eV per atom
**Space group**: Immm

Lattice parameters (Å, degrees): 9.3182 9.3182 9.3182 152.64 124.14 63.29
Last column: nearest neighbours and their distance in Å.
Element x y z (fractional)
Ac 0.0000 0.0000 0.0000  6 Ru 3.46-3.48, 8 La 3.85
Ac 0.3939 0.8939 0.5000  6 Ru 3.24-3.56, 1 Ac 3.37, 4 La 3.54
Ac 0.6061 0.1061 0.5000  6 Ru 3.24-3.56, 1 Ac 3.37, 4 La 3.54
La 0.0357 0.3349 0.7008  3 Ru 2.78-2.94
La 0.3659 0.6651 0.7008  3 Ru 2.78-2.94
La 0.6341 0.3349 0.2992  3 Ru 2.78-2.94
La 0.9643 0.6651 0.2992  3 Ru 2.78-2.94
Ru 0.2179 0.2179 0.0000  6 La 2.94-3.20
Ru 0.3081 0.5000 0.8081  2 La 2.78
Ru 0.6919 0.5000 0.1919  2 La 2.78
Ru 0.7821 0.7821 0.0000  6 La 2.94-3.20

A plane-wave DFT calculation with PBE was carried out for a geometry-optimized Na2HgGe2Pd5 structure.

Results
**DFT total energy**: -4.184 eV per atom
**Space group**: P4/mbm

Lattice parameters (Å, degrees): 9.8986 9.8986 3.6381 90.00 90.00 90.00
Last column: nearest neighbours and their distance in Å.
Element x y z (fractional)
Na 0.1732 0.3268 0.0000  3 Ge 2.81-3.00, 6 Pd 3.03-3.15
Na 0.3268 0.8268 0.0000  3 Ge 2.81-3.00, 6 Pd 3.03-3.15
Na 0.6732 0.1732 0.0000  3 Ge 2.81-3.00, 6 Pd 3.03-3.15
Na 0.8268 0.6732 0.0000  3 Ge 2.81-3.00, 6 Pd 3.03-3.15
Hg 0.0000 0.0000 0.0000  8 Pd 2.84
Hg 0.5000 0.5000 0.0000  8 Pd 2.84
Ge 0.1260 0.6260 0.0000  6 Pd 2.51-2.53
Ge 0.3740 0.1260 0.0000  6 Pd 2.51-2.53
Ge 0.6260 0.8740 0.0000  6 Pd 2.51-2.53
Ge 0.8740 0.3740 0.0000  6 Pd 2.51-2.53
Pd 0.0000 0.5000 0.5000  4 Ge 2.53
Pd 0.0697 0.7909 0.5000  2 Ge 2.51
Pd 0.2091 0.0697 0.5000  2 Ge 2.51
Pd 0.2909 0.5697 0.5000  2 Ge 2.51
Pd 0.4303 0.2909 0.5000  2 Ge 2.51
Pd 0.5000 0.0000 0.5000  4 Ge 2.53
Pd 0.5697 0.7091 0.5000  2 Ge 2.51
Pd 0.7091 0.4303 0.5000  2 Ge 2.51
Pd 0.7909 0.9303 0.5000  2 Ge 2.51
Pd 0.9303 0.2091 0.5000  2 Ge 2.51

A plane-wave DFT calculation with PBE was carried out for a geometry-optimized TeOs2Pb structure.

Results
**Raw formation energy**: 1.0618 eV per atom
**Energy above the most stable polymorph in this dataset**: 581 meV/atom
**Space group**: Fm-3m

Lattice parameters (Å, degrees): 4.7281 4.7281 4.7281 60.00 60.00 60.00
Last column: nearest neighbours and their distance in Å.
Element x y z (fractional)
Te 0.0000 0.0000 0.0000  8 Os 2.90
Os 0.2500 0.2500 0.2500  4 Pb 2.90, 4 Te 2.90
Os 0.7500 0.7500 0.7500  4 Pb 2.90, 4 Te 2.90
Pb 0.5000 0.5000 0.5000  8 Os 2.90

A plane-wave DFT calculation with PBE was carried out for a geometry-optimized GaCuTe2 structure.

Results
**Raw formation energy**: -0.0949 eV per atom
**Space group**: R-3m

Lattice parameters (Å, degrees): 7.0622 7.0622 7.0622 32.87 32.87 32.87
Last column: nearest neighbours and their distance in Å.
Element x y z (fractional)
Ga 0.0000 0.0000 0.0000  6 Te 2.92
Cu 0.5000 0.5000 0.5000  6 Te 2.77
Te 0.2436 0.2436 0.2436  3 Cu 2.77, 3 Ga 2.92
Te 0.7564 0.7564 0.7564  3 Cu 2.77, 3 Ga 2.92

Which formula does entry 6 have? GaCuTe2